DFT (PBE-GGA) results for crystalline PmHo2H at its relaxed geometry.

abc: 3.359 3.359 8.538
angles: 90.00 90.00 90.00
Fractional positions:
1 Ho 0.000 0.000 0.189
2 H 0.500 0.500 0.000
3 Pm 0.500 0.500 0.500
4 Ho 0.000 0.000 0.811

Values from the calculation:
V, Å³/atom: 24.09
Polymorph energy (0 for the lowest one), eV per atom: 0.330